[1]
A PBEsol-optimized structure of ScFeCu2. Source: Alexandria via LeMat-Bulk, functional SCAN.

Properties
E (eV per cell): -62.9
V (Å³ per atom): 13.6

Lattice parameters (Å, degrees): 3.0932 3.0932 5.6994 90.00 90.00 90.00
Last column: nearest neighbours and their distance in Å.
Fractional coordinates of all 4 atoms:
Cu (0.0000, 0.0000, 0.0347)  1 Fe 2.46, 4 Cu 2.51, 4 Sc 2.73
Cu (0.5000, 0.5000, 0.2500)  4 Cu 2.51, 4 Fe 2.51
Fe (0.0000, 0.0000, 0.4663)  5 Cu 2.46-2.51, 4 Sc 2.72
Sc (0.5000, 0.5000, 0.7489)  4 Fe 2.72, 6 Cu 2.73-2.86

=====

[2]
A PBEsol-optimized structure of Sc2FeCu. Source: Alexandria via LeMat-Bulk, functional SCAN.

Properties
E (eV per cell): -61.8
Energy above the lowest structure with this stoichiometry (meV per atom): 192
V (Å³ per atom): 17.0

Lattice parameters (Å, degrees): 3.1286 3.1286 6.9460 90.00 90.00 90.00
Last column: nearest neighbours and their distance in Å.
Fractional coordinates of all 4 atoms:
Cu (0.0000, 0.0000, 0.5414)  4 Fe 2.50, 5 Sc 2.74-2.76
Fe (0.5000, 0.5000, 0.7106)  4 Cu 2.50, 5 Sc 2.72-2.78
Sc (0.0000, 0.0000, 0.9383)  4 Fe 2.72, 1 Cu 2.76
Sc (0.5000, 0.5000, 0.3098)  4 Cu 2.74, 1 Fe 2.78

=====

[3]
A PBEsol-optimized structure of Sc2FeCu. Source: Alexandria via LeMat-Bulk, functional SCAN.

Properties
E (eV per cell): -62.3
Energy above the lowest structure with this stoichiometry (meV per atom): 56
V (Å³ per atom): 15.3

Lattice parameters (Å, degrees): 4.4256 4.4256 4.4256 60.00 60.00 60.00
Last column: nearest neighbours and their distance in Å.
Fractional coordinates of all 4 atoms:
Sc (0.7500, 0.7500, 0.7500)  4 Fe 2.71, 4 Cu 2.71
Sc (0.2500, 0.2500, 0.2500)  4 Fe 2.71, 4 Cu 2.71
Fe (0.0000, 0.0000, 0.0000)  8 Sc 2.71
Cu (0.5000, 0.5000, 0.5000)  8 Sc 2.71

=====

[4]
A PBEsol-optimized structure of FeCuSe3. Source: Alexandria via LeMat-Bulk, functional SCAN.

Properties
E (eV per cell): -90.0
V (Å³ per atom): 20.4

Lattice parameters (Å, degrees): 4.6738 4.6738 4.6738 90.00 90.00 90.00
Last column: nearest neighbours and their distance in Å.
Fractional coordinates of all 5 atoms:
Cu (0.0000, 0.0000, 0.0000)  6 Se 2.34
Se (0.0000, 0.5000, 0.0000)  2 Cu 2.34
Se (0.0000, 0.0000, 0.5000)  2 Cu 2.34
Se (0.5000, 0.0000, 0.0000)  2 Cu 2.34
Fe (0.5000, 0.5000, 0.5000)  12 Se 3.30

=====

> The highest E belongs to which entry?

number 2

=====

> Look up the V of the first one.

13.6 Å³ per atom